Entry from the Alexandria database: a relaxed structure of Sm7Y2In2 (GGA-PBE).

The structure in POSCAR format:
```
Sm7Y2In2
1.0
-0.784 0.157 -3.667
-7.323 -7.540 -0.677
-10.046 3.143 0.362
Sm Y In
7 2 2
Cartesian
-10.338 2.831 -1.509
-6.239 -2.384 -2.609
-3.843 0.874 -2.982
-11.417 -3.805 -1.562
-15.051 -2.203 -0.716
-12.616 -0.791 -3.097
-6.544 0.504 -0.499
-8.147 -4.305 -0.362
-9.345 -1.067 -1.888
-3.309 -1.744 -1.287
-14.357 -4.405 -2.879
```

Summary:
density of states at the Fermi level = 15.991 states/eV/f.u.
energy of formation from the pure elements = -0.046 eV per atom
ρ = 6.66 g cm⁻³